# La2SnBr PBE optimized geometry
data_La2SnBr
_chemical_formula_sum 'La2 Sn1 Br1'
_space_group_name_H-M_alt 'P 4/m m m'
_space_group_IT_number 123
_space_group_name_Hall '-P 4 2'
_cell_length_a 3.700
_cell_length_b 3.700
_cell_length_c 8.496
_cell_angle_alpha 90.00
_cell_angle_beta 90.00
_cell_angle_gamma 90.00
loop_
_atom_site_label
_atom_site_fract_x
_atom_site_fract_y
_atom_site_fract_z
La1 0.000 0.000 0.246
Sn1 0.500 0.500 0.000
Br1 0.500 0.500 0.500
# - ΔE_f (raw): -95.94 kJ per mole of atoms
# - Calculated total energy: -4.8770 eV/atom